(1)
A relaxed Cs12Sn2As6O crystal. Source: Alexandria, functional PBE.

Calculated values
Its final energy is -61.93 eV for the cell shown. The uncorrected formation energy is -516 meV per atom. The volume is 40.77 Å³/atom.

```
Cs12Sn2As6O
1.0
-5.331 -3.283 1.742
4.661 -10.245 -5.043
2.254 2.621 11.839
Cs Sn As O
12 2 6 1
direct
0.729 0.767 0.883
0.729 0.117 0.233
0.729 0.117 0.883
0.271 0.233 0.117
0.271 0.883 0.767
0.271 0.883 0.117
0.752 0.091 0.545
0.752 0.455 0.909
0.752 0.455 0.545
0.248 0.909 0.455
0.248 0.545 0.091
0.248 0.545 0.455
0.253 0.333 0.667
0.747 0.667 0.333
0.749 0.425 0.212
0.749 0.788 0.575
0.749 0.788 0.212
0.251 0.575 0.788
0.251 0.212 0.425
0.251 0.212 0.788
0.500 0.000 0.000
```

(2)
A relaxed BaTiTe2Mo crystal. Source: Alexandria, functional PBE.

Calculated values
Its final energy is -23.36 eV for the cell shown. The uncorrected formation energy is 715 meV per atom. The volume is 33.67 Å³/atom.

```
BaTiTe2Mo
1.0
-1.915 -4.955 -1.056
-0.041 -1.181 5.616
-5.066 1.882 0.358
Mo Te Ba Ti
1 2 1 1
direct
0.500 0.500 0.500
0.000 0.000 0.500
0.500 0.000 0.000
0.000 0.500 0.000
0.000 0.000 0.000
```

(3)
A relaxed PmPrSeBr crystal. Source: Alexandria, functional PBE.

Calculated values
Its final energy is -20.11 eV for the cell shown. The uncorrected formation energy is -1355 meV per atom. The volume is 24.84 Å³/atom.

```
PmPrSeBr
1.0
5.199 0.000 0.000
2.599 4.502 0.000
2.599 1.501 4.245
Pr Se Br Pm
1 1 1 1
direct
0.000 0.000 0.000
0.750 0.750 0.750
0.250 0.250 0.250
0.500 0.500 0.500
```

(4)
A relaxed Ga3SnSe crystal. Source: Alexandria, functional PBE.

Calculated values
Its final energy is -14.60 eV for the cell shown. The uncorrected formation energy is 394 meV per atom. The volume is 29.96 Å³/atom.

```
Ga3SnSe
1.0
-0.130 -4.647 2.568
5.020 -0.944 -1.454
1.728 2.392 4.416
Ga Sn Se
3 1 1
direct
0.000 0.500 0.000
0.000 0.000 0.500
0.500 0.000 0.000
0.000 0.000 0.000
0.500 0.500 0.500
```

(5)
A relaxed Nd3TmSn2 crystal. Source: Alexandria, functional PBE.

Calculated values
As for the energy of formation: -13.25 kcal/mol of atoms. Its final energy is -60.46 eV for the cell shown. The volume is 31.11 Å³/atom.

```
Nd3TmSn2
1.0
6.571 0.000 0.000
0.000 6.541 0.000
-3.285 -3.271 8.684
Nd Tm Sn
6 2 4
direct
0.428 0.675 0.349
0.572 0.325 0.651
0.079 0.825 0.651
0.921 0.175 0.349
0.500 0.750 0.000
0.500 0.250 0.000
0.000 0.250 0.000
0.000 0.750 0.000
0.379 0.137 0.274
0.621 0.863 0.726
0.105 0.363 0.726
0.895 0.637 0.274
```

(6)
A relaxed LaCo2Tc crystal. Source: Alexandria, functional PBE.

Calculated values
As for the energy of formation: 11.25 kcal/mol of atoms. Its final energy is -27.55 eV for the cell shown. The volume is 16.30 Å³/atom.

```
LaCo2Tc
1.0
-0.871 3.434 2.805
-3.762 0.945 -2.318
0.657 -4.156 1.648
Co La Tc
2 1 1
direct
0.000 0.000 0.000
0.250 0.750 0.500
0.500 0.500 0.000
0.750 0.250 0.500
```

(7)
A relaxed ThTlCl6 crystal. Source: Alexandria, functional PBE.

Calculated values
Its final energy is -33.39 eV for the cell shown. The uncorrected formation energy is -1566 meV per atom. The volume is 35.79 Å³/atom.

```
ThTlCl6
1.0
-5.443 -0.206 -4.509
5.473 -4.421 -0.706
-3.088 -3.123 5.403
Th Tl Cl
1 1 6
direct
0.500 0.500 0.500
0.000 0.000 0.000
0.256 0.256 0.734
0.415 0.114 0.259
0.744 0.744 0.266
0.886 0.585 0.741
0.585 0.886 0.741
0.114 0.415 0.259
```

(8)
A relaxed NaPaInF6 crystal. Source: Alexandria, functional PBE.

Calculated values
Its final energy is -105.52 eV for the cell shown. The uncorrected formation energy is -3109 meV per atom. The volume is 20.36 Å³/atom.

```
NaPaInF6
1.0
6.260 0.000 0.000
-3.130 5.421 0.000
0.000 0.000 10.800
Na Pa In F
2 2 2 12
direct
0.333 0.667 0.250
0.667 0.333 0.750
0.667 0.333 0.250
0.333 0.667 0.750
0.000 0.000 0.000
0.000 0.000 0.500
0.640 0.620 0.143
0.980 0.360 0.143
0.360 0.980 0.643
0.020 0.640 0.857
0.380 0.360 0.357
0.980 0.620 0.357
0.620 0.980 0.857
0.640 0.020 0.357
0.020 0.380 0.643
0.380 0.020 0.143
0.620 0.640 0.643
0.360 0.380 0.857
```

(9)
A relaxed KHgPdCl6 crystal. Source: Alexandria, functional PBE.

Calculated values
Its final energy is -24.83 eV for the cell shown. The uncorrected formation energy is -796 meV per atom. The volume is 30.18 Å³/atom.

```
KHgPdCl6
1.0
6.637 -0.239 -0.093
3.113 5.867 0.090
-0.099 0.174 6.850
K Hg Pd Cl
1 1 1 6
direct
0.000 0.000 0.000
0.681 0.681 0.500
0.333 0.333 0.500
0.032 0.347 0.300
0.347 0.032 0.700
0.616 0.352 0.702
0.029 0.610 0.724
0.352 0.616 0.298
0.610 0.029 0.276
```

(10)
A relaxed Ca2MgH6Os crystal. Source: Alexandria, functional PBE.

Calculated values
Its final energy is -40.52 eV for the cell shown. The volume is 12.77 Å³/atom.

```
Ca2MgH6Os
1.0
5.951 0.000 0.000
0.000 4.977 0.000
0.000 -2.489 4.310
Ca Mg H Os
2 1 6 1
direct
0.180 0.333 0.667
0.820 0.667 0.333
0.500 0.000 0.000
0.832 0.164 0.327
0.832 0.164 0.836
0.832 0.673 0.836
0.168 0.836 0.164
0.168 0.327 0.164
0.168 0.836 0.673
0.000 0.000 0.000
```

(11)
A relaxed LiHIr2Pt crystal. Source: Alexandria, functional PBE.

Calculated values
Its final energy is -29.60 eV for the cell shown. The volume is 11.74 Å³/atom.

```
LiHIr2Pt
1.0
-3.631 -1.254 -0.246
1.040 -3.330 1.627
-0.764 1.512 3.581
H Ir Pt Li
1 2 1 1
direct
0.000 0.000 0.000
0.000 0.500 0.000
0.500 0.000 0.000
0.500 0.500 0.500
0.000 0.000 0.500
```

(12)
A relaxed LaInTe2N crystal. Source: Alexandria, functional PBE.

Calculated values
Its final energy is -22.19 eV for the cell shown. The uncorrected formation energy is 16 meV per atom. The volume is 35.84 Å³/atom.

```
LaInTe2N
1.0
6.663 0.000 0.000
0.000 6.663 0.000
0.000 0.000 4.037
N Te In La
1 2 1 1
direct
0.000 0.000 0.500
0.000 0.500 0.000
0.500 0.000 0.000
0.500 0.500 0.500
0.000 0.000 0.000
```

(13)
A relaxed CdP2W crystal. Source: Alexandria, functional PBE.

Calculated values
As for the energy of formation: 15.45 kcal/mol of atoms. Its final energy is -22.01 eV for the cell shown. The volume is 16.37 Å³/atom.

```
CdP2W
1.0
-0.888 4.178 3.396
1.160 -0.229 5.327
2.268 -1.069 -4.847
Cd P W
1 2 1
direct
0.750 0.250 0.500
0.000 0.000 0.000
0.250 0.750 0.500
0.500 0.500 0.000
```

(14)
A relaxed LaSc2S2 crystal. Source: Alexandria, functional PBE.

Calculated values
Its final energy is -32.07 eV for the cell shown. The uncorrected formation energy is -1246 meV per atom. The volume is 22.29 Å³/atom.

```
LaSc2S2
1.0
4.832 0.000 0.000
0.000 4.832 0.000
2.416 2.416 4.773
Sc S La
2 2 1
direct
0.345 0.345 0.311
0.655 0.655 0.689
0.750 0.250 0.500
0.250 0.750 0.500
0.000 0.000 0.000
```

(15)
A relaxed LiSi2Ni crystal. Source: Alexandria, functional PBE.

Calculated values
Its final energy is -37.00 eV for the cell shown. The uncorrected formation energy is 11 meV per atom. The volume is 13.48 Å³/atom.

```
LiSi2Ni
1.0
-3.299 1.492 -0.173
-0.534 -1.556 -3.230
-5.095 -6.630 2.001
Ni Si Li
2 4 2
direct
0.000 0.000 0.000
0.750 0.250 0.500
0.627 0.125 0.250
0.123 0.625 0.250
0.375 0.373 0.750
0.875 0.877 0.750
0.500 0.500 0.000
0.250 0.750 0.500
```

(16)
A relaxed LiYTmCd crystal. Source: Alexandria, functional PBE.

Calculated values
As for the energy of formation: -2.91 kcal/mol of atoms. Its final energy is -14.27 eV for the cell shown. The volume is 25.36 Å³/atom.

```
LiYTmCd
1.0
-4.728 -1.458 1.711
-0.650 -1.429 4.994
-2.663 3.090 3.281
Y Tm Li Cd
1 1 1 1
direct
0.000 0.000 0.000
0.500 0.500 0.500
0.250 0.250 0.250
0.750 0.750 0.750
```

(17)
A relaxed La2YPb crystal. Source: Alexandria, functional PBE.

Calculated values
As for the energy of formation: -4.82 kcal/mol of atoms. Its final energy is -20.86 eV for the cell shown. The volume is 32.59 Å³/atom.

```
La2YPb
1.0
-3.081 1.264 -5.001
2.642 -1.447 -1.993
-2.146 -5.661 -0.109
La Pb Y
2 1 1
direct
0.000 0.063 0.018
0.000 0.437 0.482
0.500 0.250 0.250
0.500 0.750 0.750
```

(18)
A relaxed Pm2Be4AlSi3 crystal. Source: Alexandria, functional PBE.

Calculated values
Its final energy is -48.22 eV for the cell shown. The uncorrected formation energy is -380 meV per atom. The volume is 15.32 Å³/atom.

```
Pm2Be4AlSi3
1.0
3.959 0.000 0.000
0.000 3.959 0.000
0.000 0.000 9.771
Pm Be Al Si
2 4 1 3
direct
0.500 0.000 0.244
0.000 0.500 0.756
0.500 0.500 0.000
0.000 0.000 0.000
0.500 0.000 0.638
0.000 0.500 0.362
0.500 0.500 0.500
0.000 0.000 0.500
0.500 0.000 0.872
0.000 0.500 0.128
```

(19)
A relaxed TeWCI2 crystal. Source: Alexandria, functional PBE.

Calculated values
Its final energy is -18.60 eV for the cell shown. The uncorrected formation energy is 1965 meV per atom. The volume is 23.02 Å³/atom.

```
TeWCI2
1.0
-0.345 -1.129 -4.754
3.142 -3.701 0.651
-3.665 -2.941 0.964
I C Te W
2 1 1 1
direct
0.000 0.500 0.000
0.500 0.000 0.000
0.000 0.000 0.000
0.000 0.000 0.500
0.500 0.500 0.500
```

(20)
A relaxed Dy4Y3In crystal. Source: Alexandria, functional PBE.

Calculated values
As for the energy of formation: -2.53 kcal/mol of atoms. Its final energy is -82.84 eV for the cell shown. The volume is 30.41 Å³/atom.

```
Dy4Y3In
1.0
6.175 0.000 0.000
0.000 7.034 0.000
0.000 0.000 11.199
Dy Y In
8 6 2
direct
0.168 0.876 0.000
0.637 0.131 0.000
0.990 0.127 0.237
0.490 0.873 0.263
0.137 0.869 0.500
0.668 0.124 0.500
0.490 0.873 0.737
0.990 0.127 0.763
0.636 0.629 0.000
0.972 0.618 0.242
0.472 0.382 0.258
0.136 0.371 0.500
0.472 0.382 0.742
0.972 0.618 0.758
0.151 0.379 0.000
0.651 0.621 0.500
```

(21)
A relaxed TiNiPdC2 crystal. Source: Alexandria, functional PBE.

Calculated values
As for the energy of formation: 31.09 kcal/mol of atoms. Its final energy is -30.58 eV for the cell shown. The volume is 12.97 Å³/atom.

```
TiNiPdC2
1.0
-3.226 -0.406 -1.741
-0.086 -4.605 1.233
-1.786 0.866 3.109
Ni C Pd Ti
1 2 1 1
direct
0.000 0.000 0.000
0.000 0.000 0.500
0.500 0.000 0.000
0.000 0.500 0.000
0.500 0.500 0.500
```

(22)
A relaxed InPd2Se crystal. Source: Alexandria, functional PBE.

Calculated values
Its final energy is -17.68 eV for the cell shown. The uncorrected formation energy is -269 meV per atom. The volume is 17.74 Å³/atom.

```
InPd2Se
1.0
3.555 0.000 0.000
0.000 4.468 0.000
0.000 0.000 4.468
Se Pd In
1 2 1
direct
0.500 0.500 0.500
0.000 0.000 0.500
0.000 0.500 0.000
0.500 0.000 0.000
```

(23)
A relaxed NdSc2Cd crystal. Source: Alexandria, functional PBE.

Calculated values
As for the energy of formation: -1.70 kcal/mol of atoms. Its final energy is -18.64 eV for the cell shown. The volume is 25.83 Å³/atom.

```
NdSc2Cd
1.0
4.710 0.000 0.000
0.000 4.683 0.000
0.000 0.000 4.683
Sc Nd Cd
2 1 1
direct
0.000 0.000 0.500
0.000 0.500 0.000
0.500 0.500 0.500
0.500 0.000 0.000
```

(24)
A relaxed NpSbPt2 crystal. Source: Alexandria, functional PBE.

Calculated values
Its final energy is -30.92 eV for the cell shown. The uncorrected formation energy is -444 meV per atom. The volume is 21.61 Å³/atom.

```
NpSbPt2
1.0
-2.250 1.871 -3.136
-3.338 -2.042 -1.757
-5.162 2.161 2.060
Np Sb Pt
1 1 2
direct
0.000 0.000 0.000
0.500 0.500 0.500
0.757 0.757 0.729
0.243 0.243 0.271
```

(25)
A relaxed SrGaC crystal. Source: Alexandria, functional PBE.

Calculated values
As for the energy of formation: -5.08 kcal/mol of atoms. Its final energy is -29.19 eV for the cell shown. The volume is 22.71 Å³/atom.

```
SrGaC
1.0
-3.205 -1.393 -2.395
4.010 -1.556 -0.715
-2.634 -5.087 6.483
Sr Ga C
2 2 2
direct
0.076 0.152 0.794
0.924 0.848 0.206
0.334 0.668 0.496
0.666 0.332 0.504
0.580 0.160 0.041
0.420 0.840 0.959
```